1.
Entry from OQMD via LeMat-Bulk: an optimized crystal structure of PrNdCd2 (PBE).

Energy of formation, eV per atom: -0.331
VASP energy, eV per atom: -3.1627

Unit cell a=5.4539 b=5.4539 c=5.4539 alpha=60.00 beta=60.00 gamma=60.00
With the nearest neighbours (Å) after each atom.
Fractional coordinates of all 4 atoms:
Cd1 0.2500 0.2500 0.2500  4 Pr 3.34, 4 Nd 3.34
Cd2 0.7500 0.7500 0.7500  4 Nd 3.34, 4 Pr 3.34
Nd1 0.0000 0.0000 0.0000  8 Cd 3.34
Pr1 0.5000 0.5000 0.5000  8 Cd 3.34

---

2.
Entry from OQMD via LeMat-Bulk: an optimized crystal structure of PrNdCd2Sn2 (PBE).

Offset from the most stable computed form, meV per atom: 1.5
VASP energy, eV per atom: -3.8031

Unit cell a=4.8178 b=4.8178 c=16.3670 alpha=90.00 beta=90.00 gamma=120.00
With the nearest neighbours (Å) after each atom.
Fractional coordinates of all 12 atoms:
Cd1 0.3333 0.6667 0.1531  3 Sn 2.87, 1 Cd 3.17, 3 Nd 3.20
Cd2 0.3333 0.6667 0.3469  3 Sn 2.87, 1 Cd 3.17, 3 Nd 3.20
Cd3 0.6667 0.3333 0.6531  3 Sn 2.87, 1 Cd 3.17, 3 Nd 3.20
Cd4 0.6667 0.3333 0.8469  3 Sn 2.87, 1 Cd 3.17, 3 Nd 3.20
Nd1 0.0000 0.0000 0.2500  6 Cd 3.20
Nd2 0.0000 0.0000 0.7500  6 Cd 3.20
Pr1 0.0000 0.0000 0.0000  6 Sn 3.30
Pr2 0.0000 0.0000 0.5000  6 Sn 3.30
Sn1 0.6667 0.3333 0.1090  3 Cd 2.87
Sn2 0.6667 0.3333 0.3910  3 Cd 2.87
Sn3 0.3333 0.6667 0.6090  3 Cd 2.87
Sn4 0.3333 0.6667 0.8910  3 Cd 2.87

---

3.
Entry from OQMD via LeMat-Bulk: an optimized crystal structure of PrNdCd2Sn2 (PBE).

Offset from the most stable computed form, meV per atom: 4.6
VASP energy, eV per atom: -3.8001

Unit cell a=4.8198 b=4.8198 c=16.3675 alpha=90.00 beta=90.00 gamma=120.00
With the nearest neighbours (Å) after each atom.
Fractional coordinates of all 12 atoms:
Cd1 0.3333 0.6667 0.1530  3 Sn 2.88, 1 Cd 3.18, 3 Pr 3.20
Cd2 0.3333 0.6667 0.3470  3 Sn 2.88, 1 Cd 3.18, 3 Pr 3.20
Cd3 0.6667 0.3333 0.6530  3 Sn 2.88, 1 Cd 3.18, 3 Pr 3.20
Cd4 0.6667 0.3333 0.8470  3 Sn 2.88, 1 Cd 3.18, 3 Pr 3.20
Nd1 0.0000 0.0000 0.0000  6 Sn 3.30
Nd2 0.0000 0.0000 0.5000  6 Sn 3.30
Pr1 0.0000 0.0000 0.2500  6 Cd 3.20
Pr2 0.0000 0.0000 0.7500  6 Cd 3.20
Sn1 0.6667 0.3333 0.1087  3 Cd 2.88
Sn2 0.6667 0.3333 0.3913  3 Cd 2.88
Sn3 0.3333 0.6667 0.6087  3 Cd 2.88
Sn4 0.3333 0.6667 0.8913  3 Cd 2.88

---

4.
Entry from OQMD via LeMat-Bulk: an optimized crystal structure of PrNdCd2Sn2 (PBE).

Offset from the most stable computed form, meV per atom: 0.0
VASP energy, eV per atom: -3.8047

Unit cell a=8.6945 b=8.6945 c=8.6945 alpha=149.92 beta=149.92 gamma=43.06
With the nearest neighbours (Å) after each atom.
Fractional coordinates of all 6 atoms:
Cd1 0.5003 0.0003 0.5000  4 Sn 3.17-3.18, 4 Cd 3.19, 2 Nd 3.46, 2 Pr 3.47
Cd2 0.0003 0.5003 0.5000  4 Sn 3.17-3.18, 4 Cd 3.19, 2 Nd 3.46, 2 Pr 3.47
Nd1 0.6622 0.6622 0.0000  5 Sn 3.21-3.23, 4 Cd 3.46
Pr1 0.3374 0.3374 0.0000  5 Sn 3.21-3.22, 4 Cd 3.47
Sn1 0.1382 0.1382 0.0000  4 Cd 3.17, 4 Nd 3.21, 1 Pr 3.22
Sn2 0.8616 0.8616 0.0000  4 Cd 3.18, 4 Pr 3.21, 1 Nd 3.23